# 1
A relaxed CaScAl2Ni crystal. Source: the Alexandria database, functional PBE-GGA.

- theoretical density (kg/m³) = 2697
- volume (Å³ per atom) = 24.3
- ΔH_f (0 K) (kcal/mol of atoms) = 22.8
- uncorrected energy (eV per atom) = -3.330

Cell: 5.241 4.431 5.241 Å, 90.00 90.00 90.00°
Atoms (fractional coordinates):
Sc1 0.500 0.500 0.500
Ni1 0.000 0.500 0.000
Ca1 0.000 0.000 0.000
Al1 0.000 0.000 0.500
Al2 0.500 0.000 0.000



# 2
A relaxed Ca2AlSi4Ni3 crystal. Source: the Alexandria database, functional PBE-GGA.

- theoretical density (kg/m³) = 4136
- volume (Å³ per atom) = 15.9
- formation energy without anion corrections (eV per atom) = -0.58
- uncorrected energy (eV per atom) = -5.260

Cell: 3.960 3.960 10.127 Å, 90.00 90.00 90.00°
Atoms (fractional coordinates):
Ca1 0.500 0.000 0.242
Ca2 0.000 0.500 0.758
Al1 0.500 0.500 0.500
Si1 0.500 0.500 0.000
Si2 0.000 0.000 0.000
Si3 0.500 0.000 0.648
Si4 0.000 0.500 0.352
Ni1 0.000 0.000 0.500
Ni2 0.500 0.000 0.878
Ni3 0.000 0.500 0.122



# 3
A relaxed CaAlSiNi crystal. Source: the Alexandria database, functional PBE-GGA.

- theoretical density (kg/m³) = 3340
- volume (Å³ per atom) = 19.1
- formation energy without anion corrections (eV per atom) = -0.47
- uncorrected energy (eV per atom) = -4.711

Cell: 4.052 4.052 5.865 Å, 69.79 69.79 60.00°
Atoms (fractional coordinates):
Ca1 0.809 0.809 0.573
Al1 0.274 0.274 0.178
Si1 0.011 0.011 0.967
Ni1 0.632 0.632 0.104



# 4
A relaxed Ca2AlSiNi6 crystal. Source: the Alexandria database, functional PBE-GGA.

- theoretical density (kg/m³) = 5024
- volume (Å³ per atom) = 16.1
- formation energy without anion corrections (eV per atom) = -0.34
- uncorrected energy (eV per atom) = -5.125

Cell: 6.155 6.059 6.062 Å, 59.98 60.63 90.16°
Atoms (fractional coordinates):
Ca1 0.907 0.302 0.395
Ca2 0.093 0.698 0.605
Al1 0.000 0.000 0.000
Si1 0.500 0.500 0.000
Ni1 0.396 0.333 0.483
Ni2 0.604 0.816 0.063
Ni3 0.395 0.879 0.788
Ni4 0.605 0.121 0.212
Ni5 0.396 0.184 0.937
Ni6 0.604 0.667 0.517



# 5
A relaxed Ca2AlSi2Ni5 crystal. Source: the Alexandria database, functional PBE-GGA.

- theoretical density (kg/m³) = 5180
- volume (Å³ per atom) = 14.6
- formation energy without anion corrections (eV per atom) = -0.40
- uncorrected energy (eV per atom) = -5.149

Cell: 2.924 10.008 10.008 Å, 90.00 90.00 90.00°
Atoms (fractional coordinates):
Ca1 0.000 0.674 0.174
Ca2 0.000 0.326 0.826
Ca3 0.000 0.174 0.326
Ca4 0.000 0.826 0.674
Al1 0.000 0.000 0.000
Al2 0.000 0.500 0.500
Si1 0.000 0.127 0.627
Si2 0.000 0.873 0.373
Si3 0.000 0.627 0.873
Si4 0.000 0.373 0.127
Ni1 0.500 0.201 0.060
Ni2 0.500 0.799 0.940
Ni3 0.500 0.060 0.799
Ni4 0.500 0.701 0.440
Ni5 0.500 0.940 0.201
Ni6 0.500 0.299 0.560
Ni7 0.500 0.560 0.701
Ni8 0.500 0.440 0.299
Ni9 0.500 0.500 0.000
Ni10 0.500 0.000 0.500



# 6
A relaxed Sr2CaAl12Ni3 crystal. Source: the Alexandria database, functional PBE-GGA.

- theoretical density (kg/m³) = 2836
- volume (Å³ per atom) = 23.3
- ΔH_f (0 K) (kcal/mol of atoms) = 0.1
- uncorrected energy (eV per atom) = -3.753

Cell: 8.311 8.311 8.311 Å, 61.41 61.41 61.41°
Atoms (fractional coordinates):
Sr1 0.590 0.590 0.590
Sr2 0.410 0.410 0.410
Ca1 0.000 0.000 0.000
Al1 0.280 0.280 0.901
Al2 0.842 0.842 0.485
Al3 0.485 0.842 0.842
Al4 0.901 0.280 0.280
Al5 0.842 0.485 0.842
Al6 0.280 0.901 0.280
Al7 0.720 0.720 0.099
Al8 0.158 0.158 0.515
Al9 0.515 0.158 0.158
Al10 0.099 0.720 0.720
Al11 0.158 0.515 0.158
Al12 0.720 0.099 0.720
Ni1 0.500 0.000 0.000
Ni2 0.000 0.500 0.000
Ni3 0.000 0.000 0.500